[1]
ScBe3I | PBE | relaxed

## Properties
* E_tot: -2.328 eV per atom
* ΔE to the lowest computed polymorph: 0.0000 eV per atom
* formation energy (no corrections): 716 kJ/mol of formula units
* Fermi-level density of states: 4.135 states/eV/cell
* space-group type: Pm-3m, No. 221
* total magnetic moment: 0.00 μB/atom

abc: 4.710 4.710 4.710
angles: 90.00 90.00 90.00
Sites, in units of the cell vectors:
Sc  0.500  0.500  0.500
Be  0.000  0.000  0.500
I  0.000  0.000  0.000
Be  0.500  0.000  0.000
Be  0.000  0.500  0.000



[2]
LiUGaGe | PBE | relaxed

## Properties
* E_tot: -5.338 eV per atom
* formation energy from the elements: -0.126 eV/atom
* Fermi-level density of states: 6.376 states/eV/cell
* space-group type: F-43m, No. 216
* total magnetic moment: 0.44 μB/atom

abc: 4.765 4.765 4.765
angles: 60.00 60.00 60.00
Sites, in units of the cell vectors:
Ga  0.500  0.500  0.500
Li  0.750  0.750  0.750
Ge  0.000  0.000  0.000
U  0.250  0.250  0.250



[3]
MoPd3N | PBE | relaxed

## Properties
* E_tot: -4.804 eV per atom
* ΔE to the lowest computed polymorph: 1.5071 eV per atom
* formation energy (no corrections): 1034 kJ/mol of formula units
* Fermi-level density of states: 4.254 states/eV/cell
* space-group type: Pm-3m, No. 221
* total magnetic moment: 0.45 μB/atom

abc: 4.824 4.824 4.824
angles: 90.00 90.00 90.00
Sites, in units of the cell vectors:
Pd  0.000  0.000  0.500
Mo  0.000  0.000  0.000
N  0.500  0.500  0.500
Pd  0.500  0.000  0.000
Pd  0.000  0.500  0.000



[4]
CuSb2MoI | PBE | relaxed

## Properties
* E_tot: -3.860 eV per atom
* ΔE to the lowest computed polymorph: 0.2436 eV per atom
* formation energy (no corrections): 523 kJ/mol of formula units
* Fermi-level density of states: 3.252 states/eV/cell
* space-group type: P4/mmm, No. 123
* total magnetic moment: 0.68 μB/atom

abc: 5.012 5.012 5.444
angles: 90.00 90.00 90.00
Sites, in units of the cell vectors:
Sb  0.500  0.000  0.000
I  0.000  0.000  0.500
Cu  0.000  0.000  0.000
Sb  0.000  0.500  0.000
Mo  0.500  0.500  0.500



[5]
Pr2GdSb | PBE | relaxed

## Properties
* E_tot: -7.446 eV per atom
* ΔE to the lowest computed polymorph: 0.0367 eV per atom
* formation energy (no corrections): -195 kJ/mol of formula units
* Fermi-level density of states: 5.904 states/eV/cell
* space-group type: P4/mmm, No. 123
* total magnetic moment: 2.14 μB/atom

abc: 4.196 4.196 7.195
angles: 90.00 90.00 90.00
Sites, in units of the cell vectors:
Pr  0.000  0.000  0.723
Sb  0.500  0.500  0.500
Pr  0.000  0.000  0.277
Gd  0.500  0.500  0.000



[6]
Mn2GaCuHg | PBE | relaxed

## Properties
* E_tot: -4.080 eV per atom
* formation energy from the elements: 1.073 eV/atom
* Fermi-level density of states: 5.481 states/eV/cell
* space-group type: P4/mmm, No. 123
* total magnetic moment: 1.81 μB/atom

abc: 5.382 5.544 5.382
angles: 90.00 90.00 90.00
Sites, in units of the cell vectors:
Ga  0.500  0.500  0.500
Cu  0.000  0.000  0.000
Mn  0.500  0.000  0.000
Hg  0.000  0.500  0.000
Mn  0.000  0.000  0.500



[7]
Co2BI | PBE | relaxed

## Properties
* E_tot: -5.071 eV per atom
* ΔE to the lowest computed polymorph: 0.0000 eV per atom
* formation energy (no corrections): 208 kJ/mol of formula units
* Fermi-level density of states: 5.970 states/eV/cell
* space-group type: I-42d, No. 122
* total magnetic moment: 0.00 μB/atom

abc: 4.741 4.741 6.440
angles: 68.40 68.40 90.00
Sites, in units of the cell vectors:
Co  0.516  0.125  0.250
I  0.750  0.250  0.500
Co  0.234  0.625  0.250
B  0.250  0.750  0.500
I  0.000  0.000  0.000
Co  0.375  0.484  0.750
Co  0.875  0.766  0.750
B  0.500  0.500  0.000



[8]
Ca2Tl | PBE | relaxed

## Properties
* E_tot: -1.947 eV per atom
* formation energy from the elements: 0.177 eV/atom
* Fermi-level density of states: 7.338 states/eV/cell
* space-group type: Fd-3m, No. 227
* total magnetic moment: 0.00 μB/atom

abc: 6.808 6.808 6.808
angles: 60.00 60.00 60.00
Sites, in units of the cell vectors:
Ca  0.125  0.125  0.625
Ca  0.125  0.625  0.125
Tl  0.750  0.750  0.750
Tl  0.500  0.500  0.500
Ca  0.625  0.125  0.125
Ca  0.125  0.125  0.125



[9]
Sr3SiF | PBE | relaxed

## Properties
* E_tot: -3.537 eV per atom
* ΔE to the lowest computed polymorph: 0.1692 eV per atom
* formation energy (no corrections): -516 kJ/mol of formula units
* Fermi-level density of states: 4.092 states/eV/cell
* space-group type: Pm-3m, No. 221
* total magnetic moment: 0.00 μB/atom

abc: 5.140 5.140 5.140
angles: 90.00 90.00 90.00
Sites, in units of the cell vectors:
Sr  0.000  0.500  0.000
Si  0.500  0.500  0.500
Sr  0.500  0.000  0.000
Sr  0.000  0.000  0.500
F  0.000  0.000  0.000



[10]
CaSi2W | PBE | relaxed

## Properties
* E_tot: -6.029 eV per atom
* ΔE to the lowest computed polymorph: 0.5679 eV per atom
* formation energy (no corrections): 162 kJ/mol of formula units
* Fermi-level density of states: 3.125 states/eV/cell
* space-group type: I-4m2, No. 119
* total magnetic moment: 0.00 μB/atom

abc: 5.302 5.302 5.302
angles: 136.90 136.90 62.59
Sites, in units of the cell vectors:
Si  0.000  0.000  0.000
Ca  0.750  0.250  0.500
Si  0.250  0.750  0.500
W  0.500  0.500  0.000